VASP calculation (PBE+U) on a relaxed structure of LiFeIrF2.

Unit cell a=3.814 b=6.803 c=3.814 alpha=90.00 beta=90.00 gamma=90.00
Last column: magnetic moment on the atom in μB.
Fractional positions:
Li (0.000, 0.500, 0.000)  -0.02
F (0.000, 0.000, 0.500)  0.06
F (0.500, 0.000, 0.000)  0.10
Fe (0.000, 0.000, 0.000)  3.84
Ir (0.500, 0.500, 0.500)  1.43

Properties
DOS at the Fermi energy ... 0.836 states/eV per atom
Total magnetic moment ... 1.11 μB/atom
Uncorrected energy ... -22.75 eV per formula unit
SG ... P4/mmm, No. 123